Record 1
DFT (PBE) results for a relaxed MgTlCd2H crystal.

Cell: 5.338 5.338 3.768 Å, 90.00 90.00 90.00°
Sites, in units of the cell vectors:
H 0.000 0.000 0.000
Cd 0.000 0.500 0.000
Mg 0.000 0.000 0.500
Cd 0.500 0.000 0.000
Tl 0.500 0.500 0.500

Record 2
DFT (PBE) results for a relaxed Mg2CdHW crystal.

Cell: 5.212 5.274 5.212 Å, 90.00 90.00 90.00°
Each line ends with the local moment (μB).
Sites, in units of the cell vectors:
W 0.000 0.500 0.000  2.78
Mg 0.500 0.000 0.000  -0.02
Mg 0.000 0.000 0.500  -0.03
H 0.500 0.500 0.500  -0.12
Cd 0.000 0.000 0.000  0.00

Record 3
DFT (PBE) results for a relaxed YMg2CdH crystal.

Cell: 4.674 4.674 4.419 Å, 90.00 90.00 90.00°
Sites, in units of the cell vectors:
Mg 0.500 0.000 0.000
Y 0.000 0.000 0.500
H 0.000 0.000 0.000
Cd 0.500 0.500 0.500
Mg 0.000 0.500 0.000

Record 4
DFT (PBE) results for a relaxed YMg2CdH crystal.

Cell: 6.122 3.862 6.122 Å, 90.00 90.00 90.00°
Sites, in units of the cell vectors:
Mg 0.000 0.000 0.500
Cd 0.500 0.500 0.500
Y 0.000 0.000 0.000
Mg 0.500 0.000 0.000
H 0.000 0.500 0.000

Record 5
DFT (PBE) results for a relaxed MgZnCd2H crystal.

Cell: 4.770 3.814 4.770 Å, 90.00 90.00 90.00°
Sites, in units of the cell vectors:
Mg 0.000 0.500 0.000
Zn 0.500 0.500 0.500
Cd 0.500 0.000 0.000
H 0.000 0.000 0.000
Cd 0.000 0.000 0.500

Record 6
DFT (PBE) results for a relaxed MgZrCdH2 crystal.

Cell: 3.993 5.438 3.993 Å, 90.00 90.00 90.00°
Sites, in units of the cell vectors:
Cd 0.000 0.500 0.000
H 0.000 0.000 0.500
Mg 0.000 0.000 0.000
H 0.500 0.000 0.000
Zr 0.500 0.500 0.500

| no. | DFT total energy (eV for the cell shown) | M_tot (μB per cell) |
| --- | --- | --- |
| 1 | -8.43 | 0.00 |
| 2 | -11.84 | 3.43 |
| 3 | -15.05 | 0.00 |
| 4 | -11.63 | 0.00 |
| 5 | -7.09 | 0.00 |
| 6 | -14.89 | 0.00 |